Entry 1:
A relaxed PuAgPd6 crystal. Source: the Alexandria database, functional PBE.

```
PuAgPd6
1.0
-3.446 1.650 -3.109
-3.635 -3.216 -0.838
-5.302 2.229 4.337
Pd Ag Pu
6 1 1
direct
0.640 0.640 0.063
0.360 0.360 0.937
0.051 0.538 0.300
0.462 0.949 0.700
0.949 0.462 0.700
0.538 0.051 0.300
0.000 0.000 0.000
0.500 0.500 0.500
```

Values from the calculation:
formation energy from the elements: -0.0253 eV/atom
total magnetic moment: 0.531 μB per atom

Entry 2:
A relaxed LaErTe2S crystal. Source: the Alexandria database, functional PBE.

```
LaErTe2S
1.0
4.488 0.000 0.000
0.000 4.488 0.000
0.000 0.000 15.652
S Te Er La
2 4 2 2
direct
0.500 0.500 0.500
0.000 0.000 0.500
0.500 0.000 0.907
0.000 0.500 0.707
0.500 0.000 0.293
0.000 0.500 0.093
0.000 0.500 0.891
0.500 0.000 0.109
0.000 0.500 0.393
0.500 0.000 0.607
```

Values from the calculation:
total magnetic moment: 0.000 μB per atom
formation energy from raw total energies: -1562 meV per atom

Entry 3:
A relaxed SrScCrSn2 crystal. Source: the Alexandria database, functional PBE.

```
SrScCrSn2
1.0
-2.399 -5.252 -0.439
2.763 -0.898 -4.359
4.295 -2.228 3.182
Cr Sn Sc Sr
1 2 1 1
direct
0.000 0.500 0.000
0.500 0.000 0.000
0.000 0.000 0.500
0.500 0.500 0.500
0.000 0.000 0.000
```

Values from the calculation:
formation energy from the elements: 1.2341 eV/atom
total magnetic moment: 1.038 μB per atom

Entry 4:
A relaxed AlMo2Se crystal. Source: the Alexandria database, functional PBE.

```
AlMo2Se
1.0
4.705 -0.459 -0.299
-2.464 5.569 0.748
0.320 1.490 2.698
Mo Se Al
2 1 1
direct
0.500 0.000 0.500
0.000 0.000 0.000
0.000 0.500 0.500
0.500 0.500 0.000
```

Values from the calculation:
energy above the most stable polymorph in this dataset: 0.255 eV/atom
total magnetic moment: 0.000 μB per atom
formation energy from raw total energies: 166 meV per atom

Entry 5:
A relaxed BaSrPb3 crystal. Source: the Alexandria database, functional PBE.

```
BaSrPb3
1.0
7.211 0.000 0.000
0.000 7.205 0.000
0.000 0.000 14.740
Pb Ba Sr
12 4 4
direct
0.750 0.750 0.500
0.500 0.000 0.351
0.000 0.500 0.351
0.250 0.250 0.500
0.250 0.750 0.000
0.000 0.500 0.649
0.000 0.500 0.149
0.750 0.250 0.000
0.500 0.000 0.649
0.500 0.000 0.149
0.000 0.500 0.851
0.500 0.000 0.851
0.000 0.000 0.750
0.500 0.500 0.750
0.000 0.000 0.250
0.500 0.500 0.250
0.750 0.750 0.000
0.750 0.250 0.500
0.250 0.750 0.500
0.250 0.250 0.000
```

Values from the calculation:
formation energy from the elements: -0.4318 eV/atom
energy above the most stable polymorph in this dataset: 0.000 eV/atom
total magnetic moment: 0.000 μB per atom

Entry 6:
A relaxed Sm3Co2 crystal. Source: the Alexandria database, functional PBE.

```
Sm3Co2
1.0
-0.309 2.807 2.664
1.306 -2.347 5.453
5.507 1.071 2.340
Sm Co
3 2
direct
0.000 0.000 0.000
0.808 0.692 0.692
0.192 0.308 0.308
0.500 0.319 0.681
0.500 0.681 0.319
```

Values from the calculation:
formation energy from the elements: -0.0699 eV/atom
energy above the most stable polymorph in this dataset: 0.000 eV/atom
total magnetic moment: 0.000 μB per atom

Entry 7:
A relaxed Ca2TlCl crystal. Source: the Alexandria database, functional PBE.

```
Ca2TlCl
1.0
-0.673 -5.454 -1.232
1.237 -0.923 3.408
-5.273 0.207 1.967
Ca Tl Cl
2 1 1
direct
0.000 0.250 0.875
0.500 0.251 0.375
0.500 0.750 0.875
0.000 0.250 0.375
```

Values from the calculation:
energy above the most stable polymorph in this dataset: 0.057 eV/atom
total magnetic moment: 0.023 μB per atom
formation energy from raw total energies: -998 meV per atom

Entry 8:
A relaxed HoSc2Ga2Cu2 crystal. Source: the Alexandria database, functional PBE.

```
HoSc2Ga2Cu2
1.0
-3.370 -2.230 1.490
0.022 -1.492 4.040
-4.683 5.934 4.512
Sc Cu Ho Ga
2 2 1 2
direct
0.128 0.128 0.615
0.872 0.872 0.385
0.591 0.591 0.227
0.409 0.409 0.773
0.000 0.000 0.000
0.255 0.255 0.235
0.745 0.745 0.765
```

Values from the calculation:
formation energy from the elements: -0.4173 eV/atom
total magnetic moment: 0.000 μB per atom

Entry 9:
A relaxed Ni2Pd2Rh crystal. Source: the Alexandria database, functional PBE.

```
Ni2Pd2Rh
1.0
3.323 0.000 0.000
0.000 3.323 0.000
1.661 1.661 6.636
Ni Pd Rh
2 2 1
direct
0.250 0.750 0.500
0.750 0.250 0.500
0.603 0.603 0.794
0.397 0.397 0.206
0.000 0.000 0.000
```

Values from the calculation:
formation energy from the elements: 0.4214 eV/atom
energy above the most stable polymorph in this dataset: 0.198 eV/atom
total magnetic moment: 0.552 μB per atom

Entry 10:
A relaxed U2Zn15Ga2 crystal. Source: the Alexandria database, functional PBE.

```
U2Zn15Ga2
1.0
-2.398 2.915 -5.664
-5.999 1.858 2.626
1.850 6.349 1.613
Zn Ga U
15 2 2
direct
0.352 0.833 0.352
0.693 0.000 0.307
0.833 0.352 0.352
0.352 0.352 0.833
0.000 0.500 0.000
0.648 0.648 0.167
0.000 0.000 0.500
0.167 0.648 0.648
0.000 0.307 0.693
0.307 0.693 0.000
0.648 0.167 0.648
0.693 0.307 0.000
0.000 0.693 0.307
0.500 0.000 0.000
0.307 0.000 0.693
0.101 0.101 0.101
0.899 0.899 0.899
0.335 0.335 0.335
0.665 0.665 0.665
```

Values from the calculation:
formation energy from the elements: -0.0567 eV/atom
total magnetic moment: 0.287 μB per atom

Entry 11:
A relaxed MgZr2Mo crystal. Source: the Alexandria database, functional PBE.

```
MgZr2Mo
1.0
3.504 0.000 0.000
0.000 3.504 0.000
0.000 0.000 6.583
Zr Mg Mo
2 1 1
direct
0.500 0.500 0.243
0.000 0.000 0.972
0.000 0.000 0.522
0.500 0.500 0.763
```

Values from the calculation:
formation energy from the elements: 0.1825 eV/atom
energy above the most stable polymorph in this dataset: 0.204 eV/atom
total magnetic moment: 0.000 μB per atom

Entry 12:
A relaxed LaErTc2O8 crystal. Source: the Alexandria database, functional PBE.

```
LaErTc2O8
1.0
5.892 0.000 0.000
-2.946 5.103 0.000
0.000 0.000 6.988
Er O Tc La
1 8 2 1
direct
0.000 0.000 0.500
0.685 0.842 0.722
0.333 0.667 0.048
0.667 0.333 0.952
0.844 0.685 0.278
0.315 0.158 0.278
0.842 0.156 0.278
0.158 0.844 0.722
0.156 0.315 0.722
0.667 0.333 0.208
0.333 0.667 0.792
0.000 0.000 0.000
```

Values from the calculation:
total magnetic moment: 0.333 μB per atom
formation energy from raw total energies: -2121 meV per atom

Entry 13:
A relaxed LaAl2Cr crystal. Source: the Alexandria database, functional PBE.

```
LaAl2Cr
1.0
4.396 -0.315 0.231
2.464 3.654 0.231
1.990 0.969 5.619
La Cr Al
1 1 2
direct
0.750 0.750 0.750
0.250 0.250 0.250
0.954 0.954 0.137
0.546 0.546 0.363
```

Values from the calculation:
formation energy from the elements: -0.1102 eV/atom
total magnetic moment: 0.874 μB per atom

Entry 14:
A relaxed TmSi2S4 crystal. Source: the Alexandria database, functional PBE.

```
TmSi2S4
1.0
5.965 0.198 0.000
-2.698 5.323 0.000
-1.633 -2.761 5.033
S Tm Si
4 1 2
direct
0.674 0.831 0.505
0.326 0.169 0.495
0.831 0.326 0.157
0.169 0.674 0.843
0.500 0.500 0.000
0.750 0.250 0.500
0.250 0.750 0.500
```

Values from the calculation:
total magnetic moment: 0.000 μB per atom
formation energy from raw total energies: -419 meV per atom

Entry 15:
A relaxed CrHgAu4 crystal. Source: the Alexandria database, functional PBE.

```
CrHgAu4
1.0
1.566 -3.768 -3.738
2.133 -4.828 1.664
-2.910 -4.668 -0.610
Cr Au Hg
1 4 1
direct
0.750 0.750 0.750
0.375 0.875 0.375
0.875 0.375 0.375
0.375 0.375 0.875
0.375 0.375 0.375
0.000 0.000 0.000
```

Values from the calculation:
formation energy from the elements: 0.2025 eV/atom
total magnetic moment: 0.805 μB per atom

Entry 16:
A relaxed ThPaGe2 crystal. Source: the Alexandria database, functional PBE.

```
ThPaGe2
1.0
4.052 0.011 1.188
1.843 3.608 1.188
0.055 0.034 7.306
Th Pa Ge
1 1 2
direct
0.500 0.500 0.500
0.000 0.000 0.000
0.745 0.745 0.765
0.255 0.255 0.235
```

Values from the calculation:
formation energy from the elements: -0.6056 eV/atom
energy above the most stable polymorph in this dataset: 0.000 eV/atom
total magnetic moment: 0.000 μB per atom

Entry 17:
A relaxed KThN crystal. Source: the Alexandria database, functional PBE.

```
KThN
1.0
-3.978 -0.771 1.329
0.721 -6.977 -1.885
2.314 0.389 7.153
K N Th
2 2 2
direct
0.750 0.256 0.004
0.250 0.744 0.996
0.750 0.378 0.419
0.250 0.622 0.581
0.250 0.302 0.480
0.750 0.698 0.520
```

Values from the calculation:
total magnetic moment: 0.000 μB per atom
formation energy from raw total energies: -610 meV per atom

Entry 18:
A relaxed TlNi2H crystal. Source: the Alexandria database, functional PBE.

```
TlNi2H
1.0
5.216 0.000 0.000
0.000 5.216 0.000
2.608 2.608 3.732
Ni Tl H
4 2 2
direct
0.368 0.625 0.250
0.382 0.125 0.250
0.875 0.632 0.750
0.375 0.618 0.750
0.750 0.250 0.500
0.000 0.000 0.000
0.500 0.500 0.000
0.250 0.750 0.500
```

Values from the calculation:
energy above the most stable polymorph in this dataset: 0.000 eV/atom
total magnetic moment: 0.000 μB per atom

Entry 19:
A relaxed Li2TaSi crystal. Source: the Alexandria database, functional PBE.

```
Li2TaSi
1.0
7.054 0.000 0.000
0.000 7.054 0.000
3.527 3.527 2.542
Si Li Ta
2 4 2
direct
0.500 0.500 0.000
0.250 0.750 0.500
0.875 0.841 0.750
0.159 0.625 0.250
0.375 0.409 0.750
0.591 0.125 0.250
0.000 0.000 0.000
0.750 0.250 0.500
```

Values from the calculation:
total magnetic moment: 0.000 μB per atom
formation energy from raw total energies: 485 meV per atom

Entry 20:
A relaxed RbBSe2 crystal. Source: the Alexandria database, functional PBE.

```
RbBSe2
1.0
2.001 0.000 9.026
-1.001 1.733 9.026
-1.001 -1.733 9.026
Se Rb B
2 1 1
direct
0.120 0.120 0.120
0.880 0.880 0.880
0.000 0.000 0.000
0.500 0.500 0.500
```

Values from the calculation:
total magnetic moment: 0.000 μB per atom
formation energy from raw total energies: 385 meV per atom

Entry 21:
A relaxed Th3CoHg crystal. Source: the Alexandria database, functional PBE.

```
Th3CoHg
1.0
-1.836 -0.637 4.022
6.456 -4.488 2.237
0.498 8.035 1.500
Th Hg Co
6 2 2
direct
0.750 0.322 0.940
0.250 0.678 0.060
0.250 0.951 0.772
0.250 0.306 0.599
0.750 0.694 0.401
0.750 0.049 0.228
0.250 0.349 0.227
0.750 0.651 0.773
0.750 0.075 0.602
0.250 0.925 0.398
```

Values from the calculation:
formation energy from the elements: -0.1816 eV/atom
energy above the most stable polymorph in this dataset: 0.000 eV/atom
total magnetic moment: 0.000 μB per atom

Entry 22:
A relaxed SiPt3 crystal. Source: the Alexandria database, functional PBE.

```
SiPt3
1.0
0.431 4.435 3.029
-3.901 2.000 -3.132
-3.184 -1.670 2.898
Pt Si
6 2
direct
0.110 0.890 0.250
0.623 0.984 0.250
0.016 0.377 0.250
0.984 0.623 0.750
0.890 0.110 0.750
0.377 0.016 0.750
0.431 0.569 0.250
0.569 0.431 0.750
```

Values from the calculation:
total magnetic moment: 0.000 μB per atom
formation energy from raw total energies: -118 meV per atom

Entry 23:
A relaxed Tl3In2Sn4 crystal. Source: the Alexandria database, functional PBE.

```
Tl3In2Sn4
1.0
5.224 0.000 0.000
-2.612 5.200 -0.204
0.000 -0.024 9.739
Tl Sn In
3 4 2
direct
0.000 0.000 0.000
0.618 0.236 0.751
0.382 0.764 0.249
0.950 0.900 0.645
0.050 0.100 0.355
0.307 0.614 0.921
0.693 0.386 0.079
0.287 0.574 0.597
0.713 0.426 0.403
```

Values from the calculation:
formation energy from the elements: 0.0598 eV/atom
energy above the most stable polymorph in this dataset: 0.033 eV/atom
total magnetic moment: 0.000 μB per atom

Entry 24:
A relaxed Ca4CdIn crystal. Source: the Alexandria database, functional PBE.

```
Ca4CdIn
1.0
0.478 -6.323 -2.296
0.493 -5.136 4.343
-5.164 -4.268 0.775
Ca In Cd
4 1 1
direct
0.375 0.375 0.375
0.876 0.375 0.375
0.375 0.876 0.375
0.375 0.375 0.876
0.000 0.000 0.000
0.750 0.750 0.750
```

Values from the calculation:
formation energy from the elements: 0.2108 eV/atom
energy above the most stable polymorph in this dataset: 0.504 eV/atom
total magnetic moment: 0.000 μB per atom

Entry 25:
A relaxed TaSeBr3 crystal. Source: the Alexandria database, functional PBE.

```
TaSeBr3
1.0
5.361 0.000 0.000
0.000 5.361 0.000
0.000 0.000 5.361
Br Ta Se
3 1 1
direct
0.000 0.500 0.000
0.000 0.000 0.500
0.500 0.000 0.000
0.500 0.500 0.500
0.000 0.000 0.000
```

Values from the calculation:
total magnetic moment: 0.762 μB per atom
formation energy from raw total energies: 1157 meV per atom